No. 1
{
  "formula": "Cd2TcAg",
  "functional": "GGA-PBE",
  "state": "optimized geometry",
  "lattice": [[0.0000, 3.3327, 3.3327], [3.3327, 0.0000, 3.3327], [3.3327, 3.3327, 0.0000]],
  "species": ["Cd", "Cd", "Tc", "Ag"],
  "frac_coords": [[0.2500, 0.2500, 0.2500], [0.7500, 0.7500, 0.7500], [0.0000, 0.0000, 0.0000], [0.5000, 0.5000, 0.5000]],
  "formation_enthalpy_0k_ev_per_atom": 0.4410,
  "dos_ef_per_ev_atom": 0.936,
  "volume_a3_per_cell": 74.0,
  "de_polymorph_kcal_per_mol_atoms": 4.22
}

***

No. 2
{
  "formula": "La3Nd5Tm2",
  "functional": "GGA-PBE",
  "state": "optimized geometry",
  "lattice": [[5.5136, -7.4904, 0.0000], [5.5136, 7.4904, 0.0000], [-5.4388, 0.0000, 8.4839]],
  "species": ["La", "La", "La", "La", "La", "La", "Nd", "Nd", "Nd", "Nd", "Nd", "Nd", "Nd", "Nd", "Nd", "Nd", "Tm", "Tm", "Tm", "Tm"],
  "frac_coords": [[0.0236, 0.2768, 0.0568], [0.2263, 0.7737, 0.7500], [0.2768, 0.0236, 0.5568], [0.7232, 0.9764, 0.4432], [0.7737, 0.2263, 0.2500], [0.9764, 0.7232, 0.9432], [0.0183, 0.9817, 0.7500], [0.1424, 0.3861, 0.7686], [0.2711, 0.7289, 0.2500], [0.3861, 0.1424, 0.2686], [0.4756, 0.5244, 0.2500], [0.5244, 0.4756, 0.7500], [0.6139, 0.8576, 0.7314], [0.7289, 0.2711, 0.7500], [0.8576, 0.6139, 0.2314], [0.9817, 0.0183, 0.2500], [0.2220, 0.4675, 0.4472], [0.4675, 0.2220, 0.9472], [0.5325, 0.7780, 0.0528], [0.7780, 0.5325, 0.5528]],
  "formation_enthalpy_0k_ev_per_atom": 0.1631,
  "dos_ef_per_ev_atom": 1.557,
  "volume_a3_per_cell": 700.8
}

***

No. 3
{
  "formula": "Pm2ThSb",
  "functional": "GGA-PBE",
  "state": "optimized geometry",
  "lattice": [[4.9678, 0.0000, 0.0000], [0.0000, 4.9678, 0.0000], [0.0000, 0.0000, 4.7590]],
  "species": ["Pm", "Pm", "Th", "Sb"],
  "frac_coords": [[0.0000, 0.5000, 0.0000], [0.5000, 0.0000, 0.0000], [0.0000, 0.0000, 0.5000], [0.5000, 0.5000, 0.5000]],
  "formation_energy_uncorrected_kj_per_mol_atoms": -45.70,
  "dos_ef_per_ev_atom": 1.024,
  "volume_a3_per_cell": 117.4,
  "de_polymorph_kcal_per_mol_atoms": 0.65
}